No. 1
## Ti5ZnRe4 (PBE)

Data for an optimized crystal structure of Ti5ZnRe4.

The total magnetization is 0.0 μB per formula unit. The calculation puts the density at 11.4 g/cm³. Its formation energy is -0.378 eV per atom.

The structure belongs to space group P4/mmm (No. 123); the cell edges are 3.1450, 3.1450 and 15.5113 Å and the angles 90.00°, 90.00° and 90.00°. The distinct sites, in fractional coordinates, are Ti at (0.0000, 0.0000, 0.0000), Ti at (0.0000, 0.0000, 0.1996), Ti at (0.0000, 0.0000, 0.3935), Zn at (0.5000, 0.5000, 0.5000), Re at (0.5000, 0.5000, 0.0998) and Re at (0.5000, 0.5000, 0.3019).

---

No. 2
## Ti2ZnRe2 (PBE)

Data for an optimized crystal structure of Ti2ZnRe2.

For the excess energy over the best structure of this formula in the dataset, the calculation gives 0.000 eV/atom. The total magnetization is 0.0 μB per formula unit. The calculation puts the density at 11.2 g/cm³. Its formation energy is 0.084 eV per atom.

The structure belongs to space group Cmmm (No. 65); the cell edges are 2.9066, 21.1505 and 2.5682 Å and the angles 90.00°, 90.00° and 90.00°. The distinct sites, in fractional coordinates, are Ti at (0.0000, 0.0995, 0.0000), Zn at (0.0000, 0.5000, 0.5000) and Re at (0.0000, 0.3023, 0.5000).

---

No. 3
## Ti4Zn3Re (PBE)

Data for an optimized crystal structure of Ti4Zn3Re.

The total magnetization is 0.0 μB per formula unit. The calculation puts the density at 7.7 g/cm³. Its formation energy is -0.279 eV per atom.

The structure belongs to space group P4/mmm (No. 123); the cell edges are 3.1701, 3.1701 and 12.3480 Å and the angles 90.00°, 90.00° and 90.00°. The distinct sites, in fractional coordinates, are Ti at (0.0000, 0.0000, 0.1189), Ti at (0.0000, 0.0000, 0.3739), Zn at (0.5000, 0.5000, 0.2479), Zn at (0.5000, 0.5000, 0.5000) and Re at (0.5000, 0.5000, 0.0000).

---

No. 4
## TiZnRe (PBE)

Data for an optimized crystal structure of TiZnRe.

The total magnetization is 0.0 μB per formula unit. The calculation puts the density at 9.2 g/cm³. Its formation energy is 0.521 eV per atom.

The structure belongs to space group P4/nmm (No. 129, origin choice 2); the cell edges are 4.4515, 4.4515 and 5.4337 Å and the angles 90.00°, 90.00° and 90.00°. The distinct sites, in fractional coordinates, are Ti at (0.2500, 0.2500, 0.2342), Zn at (0.2500, 0.7500, 0.5000) and Re at (0.2500, 0.7500, 0.0000).

---

No. 5
## Ti7Zn2Re3 (PBE)

Data for an optimized crystal structure of Ti7Zn2Re3.

The total magnetization is 0.5 μB per formula unit. The calculation puts the density at 8.6 g/cm³. Its formation energy is 0.055 eV per atom.

The structure belongs to space group Cmmm (No. 65); the cell edges are 4.6269, 28.7776 and 2.9609 Å and the angles 90.00°, 90.00° and 90.00°. The distinct sites, in fractional coordinates, are Ti at (0.0000, 0.0000, 0.0000), Ti at (0.0000, 0.0886, 0.5000), Ti at (0.0000, 0.2755, 0.0000), Ti at (0.0000, 0.4258, 0.0000), Zn at (0.0000, 0.1749, 0.0000), Re at (0.0000, 0.3503, 0.5000) and Re at (0.0000, 0.5000, 0.5000).

---

No. 6
## TiZn3Re (PBE)

Data for an optimized crystal structure of TiZn3Re.

For the excess energy over the best structure of this formula in the dataset, the calculation gives 0.000 eV/atom. The total magnetization is 0.0 μB per formula unit. The calculation puts the density at 6.8 g/cm³. Its formation energy is 1.043 eV per atom.

The structure belongs to space group Pm-3m (No. 221); the cell edges are 4.7139, 4.7139 and 4.7139 Å and the angles 90.00°, 90.00° and 90.00°. The distinct sites, in fractional coordinates, are Ti at (0.0000, 0.0000, 0.0000), Zn at (0.0000, 0.5000, 0.5000) and Re at (0.5000, 0.5000, 0.5000).